Here is a PBEsol-optimized structure of HgRuSe4 from Alexandria via LeMat-Bulk. Energies are from meta-GGA SCAN. Values from VASP.

Results
Its formation energy (no corrections) is 6.08 eV/f.u. Its symmetry is No. 216.

```
&SYSTEM
  ibrav = 0, nat = 6, ntyp = 3
/
ATOMIC_SPECIES
Hg 200.59 Hg.upf
Ru 101.07 Ru.upf
Se 78.96 Se.upf
CELL_PARAMETERS angstrom
5.5550 0.0000 0.0000
2.7775 4.8107 0.0000
2.7775 1.6036 4.5356
ATOMIC_POSITIONS angstrom
Hg 8.3324 4.8107 3.4017
Ru 0.0000 0.0000 0.0000
Se 4.1632 2.4036 1.6996
Se 5.5550 3.2072 3.9724
Se 6.9468 2.4036 1.6996
Se 5.5550 4.8143 1.6996
```